No. 1
DFT (GGA-PBE) results for a relaxed MgCo6As2P2 crystal.

Lattice parameters (Å, degrees): 3.4009 6.7302 11.6467 90.00 90.00 90.00
With the nearest neighbours (Å) after each atom.
Space group Amm2 (No. 38)
Inequivalent atoms, fractional coordinates:
Mg1 0.0000 0.0000 0.0000  4 P 2.74, 6 Co 2.75-2.88, 2 As 2.81
Co1 0.0000 0.0000 0.5335  4 P 2.34, 1 As 2.41, 2 Co 2.55
Co2 0.0000 0.2019 0.7183  2 P 2.29, 3 As 2.37-2.41, 1 Co 2.55
Co3 0.5000 0.0000 0.1852  2 P 2.21, 2 As 2.37
Co4 0.5000 0.2010 0.4007  1 P 2.18, 3 As 2.28-2.34
As1 0.0000 0.0000 0.3268  9 Co 2.34-2.41
As2 0.5000 0.0000 0.8081  6 Co 2.28-2.41
P1 0.5000 0.2189 0.5873  6 Co 2.18-2.34

Computed properties:
For the offset from the most stable computed form, the calculation gives 0.40 eV per formula unit. For the uncorrected energy, the calculation gives -6.29 eV per atom.

=====

No. 2
DFT (GGA-PBE) results for a relaxed PaNiOs crystal.

Lattice parameters (Å, degrees): 6.2445 6.2445 6.2445 90.00 90.00 90.00
With the nearest neighbours (Å) after each atom.
Space group F-43m (No. 216)
Inequivalent atoms, fractional coordinates:
Pa1 0.0000 0.0000 0.0000  4 Ni 2.70, 4 Os 2.70
Ni1 0.2500 0.2500 0.7500  4 Pa 2.70
Os1 0.2500 0.2500 0.2500  4 Pa 2.70

Computed properties:
For the offset from the most stable computed form, the calculation gives 1.35 eV per formula unit. As for the formation energy: 0.3636 eV per atom. For the uncorrected energy, the calculation gives -8.40 eV per atom.

=====

No. 3
DFT (GGA-PBE) results for a relaxed ZnO crystal.

Lattice parameters (Å, degrees): 4.5887 4.5887 4.5887 90.00 90.00 90.00
With the nearest neighbours (Å) after each atom.
Space group F-43m (No. 216)
Inequivalent atoms, fractional coordinates:
Zn1 0.0000 0.0000 0.0000  4 O 1.99
O1 0.2500 0.2500 0.2500  4 Zn 1.99

Computed properties:
For the uncorrected energy, the calculation gives -4.54 eV per atom.

=====

No. 4
DFT (GGA-PBE) results for a relaxed TmHfCSe crystal.

Lattice parameters (Å, degrees): 3.5495 3.5495 12.8104 90.00 90.00 120.00
With the nearest neighbours (Å) after each atom.
Space group P-3m1 (No. 164)
Inequivalent atoms, fractional coordinates:
Tm1 0.3333 0.6667 0.3984  3 C 2.43
Hf1 0.3333 0.6667 0.0911  3 C 2.36
C1 0.0000 0.0000 0.0000  6 Hf 2.36
C2 0.0000 0.0000 0.5000  6 Tm 2.43
Se1 0.3333 0.6667 0.7636  3 Hf 2.77, 3 Tm 2.92

Computed properties:
For the offset from the most stable computed form, the calculation gives 0.08 eV per formula unit. For the uncorrected energy, the calculation gives -7.94 eV per atom.

=====

No. 5
DFT (GGA-PBE) results for a relaxed DyGeTe3Pb crystal.

Lattice parameters (Å, degrees): 4.3924 15.0245 11.1333 90.00 90.00 90.00
With the nearest neighbours (Å) after each atom.
Space group Cmcm (No. 63)
Inequivalent atoms, fractional coordinates:
Dy1 0.0000 0.0000 0.0000  6 Te 3.13-3.19
Ge1 0.0000 0.4716 0.2500  4 Te 2.94-2.96
Te1 0.0000 0.1040 0.2500  2 Ge 2.96, 2 Dy 3.19
Te2 0.0000 0.3547 0.0387  1 Ge 2.94, 2 Dy 3.13
Pb1 0.0000 0.2242 0.7500  8 Te 3.39-3.76, 2 Ge 3.67

Computed properties:
For the uncorrected energy, the calculation gives -4.24 eV per atom.

=====

No. 6
DFT (GGA-PBE) results for a relaxed TaCdFeAs crystal.

Lattice parameters (Å, degrees): 6.4609 6.4609 6.4609 90.00 90.00 90.00
With the nearest neighbours (Å) after each atom.
Space group F-43m (No. 216)
Inequivalent atoms, fractional coordinates:
Ta1 0.0000 0.0000 0.0000  4 Cd 2.80, 4 Fe 2.80
Cd1 0.2500 0.2500 0.2500  4 Ta 2.80, 4 As 2.80
Fe1 0.2500 0.2500 0.7500  4 Ta 2.80, 4 As 2.80
As1 0.0000 0.0000 0.5000  4 Cd 2.80, 4 Fe 2.80

Computed properties:
For the offset from the most stable computed form, the calculation gives 0.57 eV per formula unit. For the uncorrected energy, the calculation gives -5.82 eV per atom.

=====

No. 7
DFT (GGA-PBE) results for a relaxed Y2CoAu crystal.

Lattice parameters (Å, degrees): 6.8168 6.8168 6.8168 90.00 90.00 90.00
With the nearest neighbours (Å) after each atom.
Space group F-43m (No. 216)
Inequivalent atoms, fractional coordinates:
Y1 0.0000 0.0000 0.0000  4 Y 2.95, 4 Au 2.95
Y2 0.2500 0.2500 0.2500  4 Co 2.95, 4 Y 2.95
Co1 0.0000 0.0000 0.5000  4 Y 2.95, 4 Au 2.95
Au1 0.2500 0.2500 0.7500  4 Co 2.95, 4 Y 2.95

Computed properties:
As for the formation energy: -0.0832 eV per atom. For the uncorrected energy, the calculation gives -5.91 eV per atom.

=====

No. 8
DFT (GGA-PBE) results for a relaxed La2Zr2C3 crystal.

Lattice parameters (Å, degrees): 12.5761 3.6859 6.2030 90.00 108.77 90.00
With the nearest neighbours (Å) after each atom.
Space group C2/m (No. 12)
Inequivalent atoms, fractional coordinates:
La1 0.1091 0.0000 0.3401  5 C 2.67-2.90
Zr1 0.1516 0.5000 0.8333  4 C 2.24-2.36
C1 0.0000 0.5000 0.5000  2 Zr 2.32
C2 0.2403 0.0000 0.7773  3 Zr 2.24-2.36

Computed properties:
For the uncorrected energy, the calculation gives -8.10 eV per atom.

=====

No. 9
DFT (GGA-PBE) results for a relaxed PmAgO3 crystal.

Lattice parameters (Å, degrees): 6.0171 7.8945 5.5474 90.00 90.00 90.00
With the nearest neighbours (Å) after each atom.
Space group Pnma (No. 62)
Inequivalent atoms, fractional coordinates:
Pm1 0.0807 0.2500 0.0248  6 O 2.33-2.58
Ag1 0.0000 0.0000 0.5000  6 O 2.08-2.24
O1 0.0495 0.7500 0.3701  2 Ag 2.12, 1 Pm 2.33
O2 0.1839 0.5618 0.8051  2 Ag 2.08-2.24

Computed properties:
For the uncorrected energy, the calculation gives -6.15 eV per atom.

=====

No. 10
DFT (GGA-PBE) results for a relaxed PaZn2 crystal.

Lattice parameters (Å, degrees): 2.9763 15.2541 5.2439 90.00 90.00 90.00
With the nearest neighbours (Å) after each atom.
Space group Cmcm (No. 63)
Inequivalent atoms, fractional coordinates:
Pa1 0.0000 0.1081 0.2500  2 Pa 2.98, 10 Zn 3.04-3.11
Zn1 0.0000 0.2179 0.7500  4 Zn 2.72-2.98, 2 Pa 3.04
Zn2 0.0000 0.4314 0.2500  4 Zn 2.72-2.98

Computed properties:
As for the formation energy: 0.1268 eV per atom. For the uncorrected energy, the calculation gives -3.88 eV per atom.

=====

No. 11
DFT (GGA-PBE) results for a relaxed NaPrCdS3 crystal.

Lattice parameters (Å, degrees): 4.1487 13.1706 11.1363 90.00 90.00 90.00
With the nearest neighbours (Å) after each atom.
Space group Cmcm (No. 63)
Inequivalent atoms, fractional coordinates:
Na1 0.0000 0.2467 0.2500  6 S 2.98-3.28
Pr1 0.0000 0.5000 0.0000  6 S 2.87-3.00
Cd1 0.0000 0.0343 0.7500  4 S 2.48-2.59
S1 0.0000 0.1396 0.5651  1 Cd 2.48
S2 0.0000 0.4160 0.7500  2 Cd 2.59

Computed properties:
For the offset from the most stable computed form, the calculation gives 0.28 eV per formula unit. For the uncorrected energy, the calculation gives -4.51 eV per atom.

=====

No. 12
DFT (GGA-PBE) results for a relaxed NiBIrOs crystal.

Lattice parameters (Å, degrees): 5.6796 5.6796 5.6796 90.00 90.00 90.00
With the nearest neighbours (Å) after each atom.
Space group F-43m (No. 216)
Inequivalent atoms, fractional coordinates:
Ni1 0.0000 0.0000 0.0000  4 Os 2.46, 4 Ir 2.46
B1 0.0000 0.0000 0.5000  4 Os 2.46, 4 Ir 2.46
Ir1 0.2500 0.2500 0.7500  4 Ni 2.46, 4 B 2.46
Os1 0.2500 0.2500 0.2500  4 Ni 2.46, 4 B 2.46

Computed properties:
For the uncorrected energy, the calculation gives -7.76 eV per atom.

=====

No. 13
DFT (GGA-PBE) results for a relaxed LiNbInCo crystal.

Lattice parameters (Å, degrees): 6.2971 6.2971 6.2971 90.00 90.00 90.00
With the nearest neighbours (Å) after each atom.
Space group F-43m (No. 216)
Inequivalent atoms, fractional coordinates:
Li1 0.0000 0.0000 0.0000  4 In 2.73, 4 Co 2.73
Nb1 0.0000 0.0000 0.5000  4 In 2.73, 4 Co 2.73
In1 0.2500 0.2500 0.7500  4 Nb 2.73, 4 Li 2.73
Co1 0.2500 0.2500 0.2500  4 Nb 2.73, 4 Li 2.73

Computed properties:
For the offset from the most stable computed form, the calculation gives 1.14 eV per formula unit. For the uncorrected energy, the calculation gives -5.31 eV per atom.

=====

No. 14
DFT (GGA-PBE) results for a relaxed BaSmTlS3 crystal.

Lattice parameters (Å, degrees): 4.2122 15.4731 11.8100 90.00 90.00 90.00
With the nearest neighbours (Å) after each atom.
Space group Cmcm (No. 63)
Inequivalent atoms, fractional coordinates:
Ba1 0.0000 0.1562 0.2500  4 S 2.98-3.14
Sm1 0.0000 0.5000 0.0000  6 S 2.79-2.95
Tl1 0.0000 0.1300 0.7500  4 S 2.97-2.99
S1 0.0000 0.1184 0.0027  2 Sm 2.79, 1 Ba 2.98, 1 Tl 2.99
S2 0.0000 0.4946 0.7500  2 Sm 2.95, 2 Tl 2.97, 2 Ba 3.14

Computed properties:
For the uncorrected energy, the calculation gives -5.02 eV per atom.

=====

No. 15
DFT (GGA-PBE) results for a relaxed KFe2N2 crystal.

Lattice parameters (Å, degrees): 4.7555 4.7555 6.1089 90.00 111.72 90.00
With the nearest neighbours (Å) after each atom.
Space group C2/m (No. 12)
Inequivalent atoms, fractional coordinates:
K1 0.0000 0.0000 0.0000  8 N 3.03-3.12, 8 Fe 3.28-3.32, 4 K 3.36
Fe1 0.0000 0.2497 0.5000  4 N 1.90
N1 0.1757 0.5000 0.3435  4 Fe 1.90

Computed properties:
For the uncorrected energy, the calculation gives -7.05 eV per atom.

=====

No. 16
DFT (GGA-PBE) results for a relaxed SmLuAsO crystal.

Lattice parameters (Å, degrees): 4.3358 4.3358 8.8095 90.00 90.00 90.00
With the nearest neighbours (Å) after each atom.
Space group P4/nmm (No. 129, origin choice 2)
Inequivalent atoms, fractional coordinates:
Sm1 0.2500 0.2500 0.1100  4 O 2.37
Lu1 0.2500 0.7500 0.5000  4 As 2.77, 4 Lu 3.07
As1 0.2500 0.2500 0.6959  4 Lu 2.77
O1 0.2500 0.7500 0.0000  4 Sm 2.37

Computed properties:
For the offset from the most stable computed form, the calculation gives 0.00 eV per formula unit. For the uncorrected energy, the calculation gives -6.63 eV per atom.

=====

No. 17
DFT (GGA-PBE) results for a relaxed Li4SiNi2Ge crystal.

Lattice parameters (Å, degrees): 4.0635 4.0635 5.7558 90.00 90.00 90.00
With the nearest neighbours (Å) after each atom.
Space group P-4m2 (No. 115)
Inequivalent atoms, fractional coordinates:
Li1 0.0000 0.0000 0.0000  4 Ni 2.45, 4 Li 2.48
Li2 0.0000 0.5000 0.2475  4 Li 2.48-2.50, 2 Si 2.48, 2 Ge 2.50
Li3 0.5000 0.5000 0.5000  4 Li 2.50, 4 Ni 2.53
Si1 0.5000 0.5000 0.0000  4 Ni 2.45, 4 Li 2.48
Ni1 0.0000 0.5000 0.7623  4 Li 2.45-2.53, 2 Si 2.45, 2 Ge 2.53
Ge1 0.0000 0.0000 0.5000  4 Li 2.50, 4 Ni 2.53

Computed properties:
For the uncorrected energy, the calculation gives -3.97 eV per atom.

=====

No. 18
DFT (GGA-PBE) results for a relaxed ScNbO3 crystal.

Lattice parameters (Å, degrees): 3.9268 7.8774 3.9492 90.00 113.71 90.00
With the nearest neighbours (Å) after each atom.
Space group P2_1/m (No. 11)
Inequivalent atoms, fractional coordinates:
Sc1 0.0081 0.2500 0.0093  4 O 1.97-2.20
Nb1 0.5000 0.0000 0.5000  6 O 2.15-2.26
O1 0.0000 0.0000 0.0000  2 Sc 1.97, 2 Nb 2.15
O2 0.3268 0.2500 0.6625  2 Sc 2.20-2.37, 3 O 2.21-2.41, 2 Nb 2.26
O3 0.3396 0.7500 0.6745  2 Sc 2.19-2.36, 3 O 2.21-2.41, 2 Nb 2.26

Computed properties:
For the uncorrected energy, the calculation gives -8.44 eV per atom.

=====

No. 19
DFT (GGA-PBE) results for a relaxed FeTcSbPd crystal.

Lattice parameters (Å, degrees): 6.2879 6.2879 6.2879 90.00 90.00 90.00
With the nearest neighbours (Å) after each atom.
Space group F-43m (No. 216)
Inequivalent atoms, fractional coordinates:
Fe1 0.0000 0.0000 0.0000  4 Sb 2.72, 4 Pd 2.72
Tc1 0.0000 0.0000 0.5000  4 Sb 2.72, 4 Pd 2.72
Sb1 0.2500 0.2500 0.7500  4 Fe 2.72, 4 Tc 2.72
Pd1 0.2500 0.2500 0.2500  4 Tc 2.72, 4 Fe 2.72

Computed properties:
For the offset from the most stable computed form, the calculation gives 0.00 eV per formula unit. For the uncorrected energy, the calculation gives -6.85 eV per atom.

=====

No. 20
DFT (GGA-PBE) results for a relaxed ErCuHg crystal.

Lattice parameters (Å, degrees): 6.4629 6.4629 6.4629 90.00 90.00 90.00
With the nearest neighbours (Å) after each atom.
Space group F-43m (No. 216)
Inequivalent atoms, fractional coordinates:
Er1 0.0000 0.0000 0.0000  4 Cu 2.80
Cu1 0.2500 0.2500 0.2500  4 Hg 2.80, 4 Er 2.80
Hg1 0.0000 0.0000 0.5000  4 Cu 2.80

Computed properties:
As for the formation energy: -0.1984 eV per atom. For the uncorrected energy, the calculation gives -3.06 eV per atom.

=====

No. 21
DFT (GGA-PBE) results for a relaxed ScNbCoSn crystal.

Lattice parameters (Å, degrees): 6.5404 6.5404 6.5404 90.00 90.00 90.00
With the nearest neighbours (Å) after each atom.
Space group F-43m (No. 216)
Inequivalent atoms, fractional coordinates:
Sc1 0.0000 0.0000 0.0000  4 Nb 2.83, 4 Co 2.83
Nb1 0.2500 0.2500 0.2500  4 Sn 2.83, 4 Sc 2.83
Co1 0.2500 0.2500 0.7500  4 Sn 2.83, 4 Sc 2.83
Sn1 0.0000 0.0000 0.5000  4 Co 2.83, 4 Nb 2.83

Computed properties:
For the offset from the most stable computed form, the calculation gives 0.00 eV per formula unit. For the uncorrected energy, the calculation gives -6.85 eV per atom.

=====

No. 22
DFT (GGA-PBE) results for a relaxed LaPrAsBr crystal.

Lattice parameters (Å, degrees): 4.2604 4.2604 15.0440 90.00 90.00 120.00
With the nearest neighbours (Å) after each atom.
Space group P-6m2 (No. 187)
Inequivalent atoms, fractional coordinates:
La1 0.0000 0.0000 0.1439  3 As 2.95, 3 Br 3.28
Pr1 0.6667 0.3333 0.3566  3 As 2.92
As1 0.3333 0.6667 0.2520  3 Pr 2.92, 3 La 2.95
Br1 0.0000 0.0000 0.5000  6 Pr 3.27
Br2 0.6667 0.3333 0.0000  6 La 3.28

Computed properties:
For the uncorrected energy, the calculation gives -5.50 eV per atom.

=====

No. 23
DFT (GGA-PBE) results for a relaxed GaSbW crystal.

Lattice parameters (Å, degrees): 6.3861 6.3861 6.3861 90.00 90.00 90.00
With the nearest neighbours (Å) after each atom.
Space group F-43m (No. 216)
Inequivalent atoms, fractional coordinates:
Ga1 0.0000 0.0000 0.0000  4 W 2.77
Sb1 0.0000 0.0000 0.5000  4 W 2.77
W1 0.2500 0.2500 0.2500  4 Ga 2.77, 4 Sb 2.77

Computed properties:
For the offset from the most stable computed form, the calculation gives 0.00 eV per formula unit. For the uncorrected energy, the calculation gives -6.00 eV per atom.

=====

No. 24
DFT (GGA-PBE) results for a relaxed TbCdRe crystal.

Lattice parameters (Å, degrees): 6.5929 6.5929 6.5929 90.00 90.00 90.00
With the nearest neighbours (Å) after each atom.
Space group F-43m (No. 216)
Inequivalent atoms, fractional coordinates:
Tb1 0.0000 0.0000 0.0000  4 Cd 2.85
Cd1 0.2500 0.2500 0.7500  4 Tb 2.85, 4 Re 2.85
Re1 0.0000 0.0000 0.5000  4 Cd 2.85

Computed properties:
As for the formation energy: 0.9661 eV per atom. For the uncorrected energy, the calculation gives -5.02 eV per atom.

=====

No. 25
DFT (GGA-PBE) results for a relaxed ZrGaCuOs crystal.

Lattice parameters (Å, degrees): 6.3628 6.3628 6.3628 90.00 90.00 90.00
With the nearest neighbours (Å) after each atom.
Space group F-43m (No. 216)
Inequivalent atoms, fractional coordinates:
Zr1 0.0000 0.0000 0.0000  4 Os 2.76, 4 Ga 2.76
Ga1 0.2500 0.2500 0.2500  4 Zr 2.76, 4 Cu 2.76
Cu1 0.0000 0.0000 0.5000  4 Ga 2.76, 4 Os 2.76
Os1 0.2500 0.2500 0.7500  4 Cu 2.76, 4 Zr 2.76

Computed properties:
For the offset from the most stable computed form, the calculation gives 0.92 eV per formula unit. For the uncorrected energy, the calculation gives -6.60 eV per atom.

=====

No. 26
DFT (GGA-PBE) results for a relaxed YCuSbIr crystal.

Lattice parameters (Å, degrees): 6.6924 6.6924 6.6924 90.00 90.00 90.00
With the nearest neighbours (Å) after each atom.
Space group F-43m (No. 216)
Inequivalent atoms, fractional coordinates:
Y1 0.0000 0.0000 0.0000  4 Cu 2.90, 4 Ir 2.90
Cu1 0.2500 0.2500 0.7500  4 Sb 2.90, 4 Y 2.90
Sb1 0.0000 0.0000 0.5000  4 Ir 2.90, 4 Cu 2.90
Ir1 0.2500 0.2500 0.2500  4 Y 2.90, 4 Sb 2.90

Computed properties:
For the offset from the most stable computed form, the calculation gives 0.00 eV per formula unit. For the uncorrected energy, the calculation gives -6.19 eV per atom.